Density functional theory data (PBE-GGA) for a relaxed structure of Ac2AsRh3.

Output
ΔE to the lowest computed polymorph = 0.0028 eV/atom
Size of the total moment = 0.00 μB/f.u.
Mass density = 9.8 g/cm³
Formation energy = -0.747 eV per atom
Space group = Fmmm

Cell: 8.7308 8.7001 6.1321 Å, 69.67 69.13 41.19°
With the nearest neighbours (Å) after each atom.
Atoms (fractional coordinates):
1 Ac 0.2461 0.7539 0.7539  10 Rh 3.26-3.41, 2 As 3.32
2 Ac 0.2500 0.2500 0.2500  8 Rh 3.28-3.29, 4 As 3.30
3 Ac 0.7500 0.7500 0.7500  8 Rh 3.28-3.29, 4 As 3.30
4 Ac 0.7539 0.2461 0.2461  10 Rh 3.26-3.41, 2 As 3.32
5 As 0.1690 0.1690 0.8310  3 Rh 2.43-2.44
6 As 0.8310 0.8310 0.1690  3 Rh 2.43-2.44
7 Rh 0.1538 0.6728 0.3272  1 As 2.44, 2 Rh 2.60-2.62
8 Rh 0.3272 0.8462 0.1538  1 As 2.44, 2 Rh 2.60-2.62
9 Rh 0.3297 0.3297 0.6703  1 As 2.43, 2 Rh 2.60
10 Rh 0.6703 0.6703 0.3297  1 As 2.43, 2 Rh 2.60
11 Rh 0.6728 0.1538 0.8462  1 As 2.44, 2 Rh 2.60-2.62
12 Rh 0.8462 0.3272 0.6728  1 As 2.44, 2 Rh 2.60-2.62